[1]
Density functional theory data (PBE-GGA) for a relaxed MgAlCu2 crystal.

The space group is Imm2 (No. 44) and the conventional cell measures 3.0253, 4.3097 and 8.8714 Å, with angles of 90.00, 90.00 and 90.00 degrees. The inequivalent atoms are Mg at (0.0000, 0.0000, 0.0000), Al at (0.0000, 0.5000, 0.7772), Cu at (0.0000, 0.0000, 0.5112) and Cu at (0.0000, 0.5000, 0.2394).

Its total energy is -3.507 eV/atom.

***

[2]
Density functional theory data (PBE-GGA) for a relaxed MnCrP crystal.

The space group is I4mm (No. 107) and the conventional cell measures 2.7580, 2.7580 and 8.5974 Å, with angles of 90.00, 90.00 and 90.00 degrees. The inequivalent atoms are Mn at (0.0000, 0.0000, 0.0000), Cr at (0.0000, 0.0000, 0.6882) and P at (0.0000, 0.0000, 0.3530).

Its total energy is -8.302 eV/atom.

***

[3]
Density functional theory data (PBE-GGA) for a relaxed SrNiP2 crystal.

The space group is R-3m (No. 166, hexagonal axes) and the conventional cell measures 3.8011, 3.8011 and 17.4924 Å, with angles of 90.00, 90.00 and 120.00 degrees. The inequivalent atoms are Sr at (0.0000, 0.0000, 0.0000), Ni at (0.0000, 0.0000, 0.5000) and P at (0.0000, 0.0000, 0.2162).

Its total energy is -5.158 eV/atom.

***

[4]
Density functional theory data (PBE-GGA) for a relaxed LiTbMnCo crystal.

The space group is F-43m (No. 216) and the conventional cell measures 6.3991, 6.3991 and 6.3991 Å, with angles of 90.00, 90.00 and 90.00 degrees. The inequivalent atoms are Li at (0.0000, 0.0000, 0.0000), Tb at (0.2500, 0.2500, 0.7500), Mn at (0.2500, 0.2500, 0.2500) and Co at (0.0000, 0.0000, 0.5000).

Its total energy is -5.596 eV/atom.

***

[5]
Density functional theory data (PBE-GGA) for a relaxed DyHo6TmSc2 crystal.

The space group is C2/c (No. 15) and the conventional cell measures 8.8981, 14.6578 and 9.2961 Å, with angles of 90.00, 96.81 and 90.00 degrees. The inequivalent atoms are Dy at (0.0000, 0.0267, 0.2500), Ho at (0.0613, 0.1816, 0.9457), Ho at (0.0994, 0.3954, 0.1167), Ho at (0.2109, 0.2275, 0.3185), Tm at (0.0000, 0.4083, 0.7500) and Sc at (0.2490, 0.4464, 0.4525).

Its total energy is -4.795 eV/atom.

***

[6]
Density functional theory data (PBE-GGA) for a relaxed Al2CoTc crystal.

The space group is Fm-3m (No. 225) and the conventional cell measures 5.9294, 5.9294 and 5.9294 Å, with angles of 90.00, 90.00 and 90.00 degrees. The inequivalent atoms are Al at (0.2500, 0.2500, 0.2500), Co at (0.0000, 0.0000, 0.0000) and Tc at (0.0000, 0.0000, 0.5000).

Its total energy is -6.635 eV/atom. The energy above the lowest structure with this stoichiometry is 0.025 eV per atom.